Entry 1:
# Dy2Al9Pd3

Dy2Al9Pd3 at its PBEsol-relaxed geometry (SCAN, Alexandria).

POSCAR file:
```
Dy2Al9Pd3
1.0
6.550 -3.816 0.000
6.550 3.816 0.000
0.000 0.000 9.352
Dy Al Pd
4 18 6
Direct
0.007 0.670 0.750
0.330 0.993 0.750
0.670 0.007 0.250
0.993 0.330 0.250
0.000 0.335 0.576
0.000 0.335 0.924
0.000 0.665 0.076
0.000 0.665 0.424
0.129 0.871 0.250
0.332 0.668 0.556
0.332 0.668 0.944
0.335 0.000 0.076
0.335 0.000 0.424
0.339 0.452 0.250
0.452 0.339 0.750
0.548 0.661 0.250
0.661 0.548 0.750
0.665 0.000 0.576
0.665 0.000 0.924
0.668 0.332 0.056
0.668 0.332 0.444
0.871 0.129 0.750
0.000 0.000 0.000
0.000 0.000 0.500
0.328 0.328 0.000
0.328 0.328 0.500
0.672 0.672 0.000
0.672 0.672 0.500
```

Calculated values
- density of states at the Fermi level (states/eV per cell) = 10.56
- E_tot (eV/atom) = -19.6405

***

Entry 2:
# PmDyAl2

PmDyAl2 at its PBEsol-relaxed geometry (SCAN, Alexandria).

POSCAR file:
```
PmDyAl2
1.0
0.000 3.599 3.599
3.599 0.000 3.599
3.599 3.599 0.000
Pm Dy Al
1 1 2
Direct
0.000 0.000 0.000
0.500 0.500 0.500
0.250 0.250 0.250
0.750 0.750 0.750
```

Calculated values
- density of states at the Fermi level (states/eV per cell) = 1.01
- E_tot (eV/atom) = -27.2251

***

Entry 3:
# Dy2Al9Rh3

Dy2Al9Rh3 at its PBEsol-relaxed geometry (SCAN, Alexandria).

POSCAR file:
```
Dy2Al9Rh3
1.0
6.451 -3.773 0.000
6.451 3.773 0.000
0.000 0.000 9.377
Dy Al Rh
4 18 6
Direct
0.005 0.672 0.750
0.328 0.995 0.750
0.672 0.005 0.250
0.995 0.328 0.250
0.000 0.336 0.575
0.000 0.336 0.925
0.000 0.664 0.075
0.000 0.664 0.425
0.128 0.872 0.250
0.332 0.668 0.550
0.332 0.668 0.950
0.336 0.000 0.075
0.336 0.000 0.425
0.340 0.448 0.250
0.448 0.340 0.750
0.552 0.660 0.250
0.660 0.552 0.750
0.664 0.000 0.575
0.664 0.000 0.925
0.668 0.332 0.050
0.668 0.332 0.450
0.872 0.128 0.750
0.000 0.000 0.000
0.000 0.000 0.500
0.328 0.328 0.000
0.328 0.328 0.500
0.672 0.672 0.000
0.672 0.672 0.500
```

Calculated values
- density of states at the Fermi level (states/eV per cell) = 9.86
- E_tot (eV/atom) = -20.0144

***

Entry 4:
# Dy3Al12Ru4

Dy3Al12Ru4 at its PBEsol-relaxed geometry (SCAN, Alexandria).

POSCAR file:
```
Dy3Al12Ru4
1.0
8.721 0.000 0.000
-4.360 7.552 0.000
0.000 0.000 9.491
Dy Al Ru
6 24 8
Direct
0.193 0.386 0.250
0.193 0.807 0.250
0.386 0.193 0.750
0.614 0.807 0.250
0.807 0.193 0.750
0.807 0.614 0.750
0.000 0.000 0.250
0.000 0.000 0.750
0.122 0.561 0.750
0.162 0.325 0.577
0.162 0.325 0.923
0.162 0.838 0.577
0.162 0.838 0.923
0.325 0.162 0.077
0.325 0.162 0.423
0.333 0.667 0.017
0.333 0.667 0.483
0.439 0.561 0.750
0.439 0.878 0.750
0.561 0.122 0.250
0.561 0.439 0.250
0.667 0.333 0.517
0.667 0.333 0.983
0.675 0.838 0.577
0.675 0.838 0.923
0.838 0.162 0.077
0.838 0.162 0.423
0.838 0.675 0.077
0.838 0.675 0.423
0.878 0.439 0.250
0.000 0.000 0.000
0.000 0.000 0.500
0.000 0.500 0.000
0.000 0.500 0.500
0.500 0.000 0.000
0.500 0.000 0.500
0.500 0.500 0.000
0.500 0.500 0.500
```

Calculated values
- density of states at the Fermi level (states/eV per cell) = 18.17
- E_tot (eV/atom) = -20.5442

***

Entry 5:
# Dy12Al7Si

Dy12Al7Si at its PBEsol-relaxed geometry (SCAN, Alexandria).

POSCAR file:
```
Dy12Al7Si
1.0
-5.744 5.744 7.534
5.744 -5.744 7.534
5.744 5.744 -7.534
Dy Al Si
24 14 2
Direct
0.063 0.927 0.263
0.073 0.336 0.136
0.149 0.649 0.500
0.164 0.427 0.864
0.172 0.328 0.500
0.200 0.937 0.864
0.300 0.164 0.737
0.328 0.828 0.157
0.336 0.200 0.263
0.351 0.851 0.500
0.427 0.563 0.263
0.437 0.700 0.864
0.563 0.300 0.136
0.573 0.437 0.737
0.649 0.149 0.500
0.664 0.800 0.737
0.672 0.172 0.843
0.700 0.836 0.263
0.800 0.063 0.136
0.828 0.672 0.500
0.836 0.573 0.136
0.851 0.351 0.500
0.927 0.664 0.864
0.937 0.073 0.737
0.000 0.000 0.000
0.026 0.882 0.500
0.118 0.618 0.144
0.118 0.618 0.736
0.382 0.118 0.500
0.382 0.526 0.500
0.474 0.974 0.856
0.500 0.500 0.000
0.526 0.026 0.144
0.618 0.474 0.500
0.618 0.882 0.500
0.882 0.382 0.264
0.882 0.382 0.856
0.974 0.118 0.500
0.250 0.250 0.000
0.750 0.750 0.000
```

Calculated values
- formation energy without anion corrections (meV per atom) = -406
- density of states at the Fermi level (states/eV per cell) = 22.28
- E_tot (eV/atom) = -32.2976

***

Entry 6:
# Dy2Al3Si2

Dy2Al3Si2 at its PBEsol-relaxed geometry (SCAN, Alexandria).

POSCAR file:
```
Dy2Al3Si2
1.0
5.034 -2.009 0.000
5.034 2.009 0.000
-1.235 0.000 6.419
Dy Al Si
2 3 2
Direct
0.119 0.119 0.323
0.881 0.881 0.677
0.195 0.195 0.867
0.500 0.500 0.000
0.805 0.805 0.133
0.407 0.407 0.360
0.593 0.593 0.640
```

Calculated values
- formation energy without anion corrections (meV per atom) = -570
- density of states at the Fermi level (states/eV per cell) = 1.91
- E_tot (eV/atom) = -20.4105

***

Entry 7:
# DyAl2Si2

DyAl2Si2 at its PBEsol-relaxed geometry (SCAN, Alexandria).

POSCAR file:
```
DyAl2Si2
1.0
4.173 0.000 0.000
-2.086 3.614 0.000
0.000 0.000 6.475
Dy Al Si
1 2 2
Direct
0.000 0.000 0.000
0.333 0.667 0.646
0.667 0.333 0.354
0.333 0.667 0.256
0.667 0.333 0.744
```

Calculated values
- formation energy without anion corrections (meV per atom) = -391
- density of states at the Fermi level (states/eV per cell) = 1.63
- E_tot (eV/atom) = -17.0578

***

Entry 8:
# TbDy3Al8

TbDy3Al8 at its PBEsol-relaxed geometry (SCAN, Alexandria).

POSCAR file:
```
TbDy3Al8
1.0
2.755 1.591 9.006
-2.755 1.591 9.006
0.000 -3.181 9.006
Tb Dy Al
1 3 8
Direct
0.000 0.000 0.000
0.125 0.125 0.125
0.500 0.500 0.500
0.625 0.625 0.625
0.062 0.062 0.562
0.062 0.562 0.062
0.063 0.562 0.562
0.312 0.312 0.312
0.562 0.062 0.062
0.562 0.063 0.562
0.562 0.562 0.063
0.812 0.812 0.812
```

Calculated values
- density of states at the Fermi level (states/eV per cell) = 9.31
- E_tot (eV/atom) = -21.5635

***

Entry 9:
# TbDyAl4

TbDyAl4 at its PBEsol-relaxed geometry (SCAN, Alexandria).

POSCAR file:
```
TbDyAl4
1.0
0.000 3.900 3.900
3.900 0.000 3.900
3.900 3.900 0.000
Tb Dy Al
1 1 4
Direct
0.000 0.000 0.000
0.750 0.750 0.750
0.375 0.375 0.375
0.375 0.375 0.875
0.375 0.875 0.375
0.875 0.375 0.375
```

Calculated values
- density of states at the Fermi level (states/eV per cell) = 4.77
- E_tot (eV/atom) = -21.4779

***

Entry 10:
# Tb3DyAl8

Tb3DyAl8 at its PBEsol-relaxed geometry (SCAN, Alexandria).

POSCAR file:
```
Tb3DyAl8
1.0
2.759 1.593 9.020
-2.759 1.593 9.020
0.000 -3.186 9.020
Tb Dy Al
3 1 8
Direct
0.000 0.000 0.000
0.125 0.125 0.125
0.625 0.625 0.625
0.500 0.500 0.500
0.062 0.062 0.562
0.062 0.562 0.062
0.063 0.562 0.562
0.312 0.312 0.312
0.562 0.062 0.062
0.562 0.063 0.562
0.562 0.562 0.063
0.812 0.812 0.812
```

Calculated values
- density of states at the Fermi level (states/eV per cell) = 9.51
- E_tot (eV/atom) = -21.3929

***

Entry 11:
# Dy6Al43W4

Dy6Al43W4 at its PBEsol-relaxed geometry (SCAN, Alexandria).

POSCAR file:
```
Dy6Al43W4
1.0
10.921 0.000 0.000
-5.460 9.457 0.000
0.000 0.000 17.610
Dy Al W
12 86 8
Direct
0.000 0.468 0.095
0.000 0.468 0.405
0.000 0.532 0.595
0.000 0.532 0.905
0.468 0.000 0.095
0.468 0.000 0.405
0.468 0.468 0.595
0.468 0.468 0.905
0.532 0.000 0.595
0.532 0.000 0.905
0.532 0.532 0.095
0.532 0.532 0.405
0.000 0.149 0.750
0.000 0.160 0.114
0.000 0.160 0.386
0.000 0.254 0.530
0.000 0.254 0.970
0.000 0.746 0.030
0.000 0.746 0.470
0.000 0.840 0.614
0.000 0.840 0.886
0.000 0.851 0.250
0.148 0.552 0.250
0.148 0.596 0.750
0.149 0.000 0.750
0.149 0.149 0.250
0.158 0.394 0.663
0.158 0.394 0.837
0.158 0.763 0.163
0.158 0.763 0.337
0.160 0.000 0.114
0.160 0.000 0.386
0.160 0.160 0.614
0.160 0.160 0.886
0.237 0.394 0.163
0.237 0.394 0.337
0.237 0.842 0.663
0.237 0.842 0.837
0.247 0.494 0.000
0.247 0.494 0.500
0.247 0.753 0.000
0.247 0.753 0.500
0.254 0.000 0.530
0.254 0.000 0.970
0.254 0.254 0.030
0.254 0.254 0.470
0.333 0.667 0.125
0.333 0.667 0.375
0.333 0.667 0.625
0.333 0.667 0.875
0.394 0.158 0.663
0.394 0.158 0.837
0.394 0.237 0.163
0.394 0.237 0.337
0.404 0.552 0.750
0.404 0.852 0.250
0.448 0.596 0.250
0.448 0.852 0.750
0.494 0.247 0.000
0.494 0.247 0.500
0.506 0.753 0.000
0.506 0.753 0.500
0.552 0.148 0.250
0.552 0.404 0.750
0.596 0.148 0.750
0.596 0.448 0.250
0.606 0.763 0.663
0.606 0.763 0.837
0.606 0.842 0.163
0.606 0.842 0.337
0.667 0.333 0.125
0.667 0.333 0.375
0.667 0.333 0.625
0.667 0.333 0.875
0.746 0.000 0.030
0.746 0.000 0.470
0.746 0.746 0.530
0.746 0.746 0.970
0.753 0.247 0.000
0.753 0.247 0.500
0.753 0.506 0.000
0.753 0.506 0.500
0.763 0.158 0.163
0.763 0.158 0.337
0.763 0.606 0.663
0.763 0.606 0.837
0.840 0.000 0.614
0.840 0.000 0.886
0.840 0.840 0.114
0.840 0.840 0.386
0.842 0.237 0.663
0.842 0.237 0.837
0.842 0.606 0.163
0.842 0.606 0.337
0.851 0.000 0.250
0.851 0.851 0.750
0.852 0.404 0.250
0.852 0.448 0.750
0.000 0.000 0.000
0.000 0.000 0.500
0.000 0.271 0.250
0.000 0.729 0.750
0.271 0.000 0.250
0.271 0.271 0.750
0.729 0.000 0.750
0.729 0.729 0.250
```

Calculated values
- density of states at the Fermi level (states/eV per cell) = 38.99
- E_tot (eV/atom) = -17.2528

***

Entry 12:
# DyYAl2

DyYAl2 at its PBEsol-relaxed geometry (SCAN, Alexandria).

POSCAR file:
```
DyYAl2
1.0
0.000 3.555 3.555
3.555 0.000 3.555
3.555 3.555 0.000
Dy Y Al
1 1 2
Direct
0.000 0.000 0.000
0.500 0.500 0.500
0.250 0.250 0.250
0.750 0.750 0.750
```

Calculated values
- density of states at the Fermi level (states/eV per cell) = 1.13
- E_tot (eV/atom) = -23.2167